Density functional theory data (PBE-GGA) for an optimized crystal structure of ZnSiAu2.

## Properties
Its symmetry is No. 160. The calculation puts the electronic total energy at -3.24 eV per atom. As for the uncorrected formation energy: 75 meV/atom.

a = 7.095 Å, b = 7.095 Å, c = 7.095 Å
α = 28.78°, β = 28.78°, γ = 28.78°
Atoms (fractional coordinates):
Zn 0.000 0.000 0.000
Si 0.833 0.833 0.833
Au 0.421 0.421 0.421
Au 0.578 0.578 0.578